[1]
# NiBrCl6

A geometry-optimized NiBrCl6 structure (PBE, Alexandria).

a = 11.531 Å, b = 7.460 Å, c = 13.026 Å
α = 163.00°, β = 51.62°, γ = 129.95°
Element x y z (fractional)
Ni  0.500  0.000  0.000
Br  0.000  0.000  0.000
Cl  0.142  0.937  0.528
Cl  0.468  0.751  0.525
Cl  0.746  0.230  0.987
Cl  0.532  0.249  0.475
Cl  0.858  0.063  0.472
Cl  0.254  0.770  0.013

Results
Formation energy (no corrections) in eV per atom: -0.0909
Calculated volume in A^3/atom: 31.37
Mass density in Mg/m³: 2.32
SG: P-1, No. 2
Fermi-level density of states in states/eV per atom: 0.723

***

[2]
# MgPRh3

A geometry-optimized MgPRh3 structure (PBE, Alexandria).

a = 4.373 Å, b = 4.373 Å, c = 4.373 Å
α = 90.00°, β = 90.00°, γ = 90.00°
Element x y z (fractional)
P  0.000  0.000  0.000
Mg  0.500  0.500  0.500
Rh  0.000  0.500  0.000
Rh  0.000  0.000  0.500
Rh  0.500  0.000  0.000

Results
Calculated volume in A^3/atom: 16.72
Mass density in Mg/m³: 7.23
ΔH_f (0 K) in eV/atom: -0.38
SG: Pm-3m, No. 221
Excess energy over the best structure of this formula in the dataset in eV/f.u.: 0.00
Fermi-level density of states in states/eV per atom: 0.113

***

[3]
# SmErCdSn

A geometry-optimized SmErCdSn structure (PBE, Alexandria).

a = 5.315 Å, b = 5.315 Å, c = 5.315 Å
α = 60.00°, β = 60.00°, γ = 60.00°
Element x y z (fractional)
Cd  0.750  0.750  0.750
Sn  0.250  0.250  0.250
Sm  0.000  0.000  0.000
Er  0.500  0.500  0.500

Results
Calculated volume in A^3/atom: 26.54
Mass density in Mg/m³: 8.58
ΔH_f (0 K) in eV/atom: -0.50
SG: F-43m, No. 216
Fermi-level density of states in states/eV per atom: 0.702